LaYAlPb | the Alexandria database | PBE-GGA | relaxed; energy of formation from the pure elements = -0.3817 eV per atom; calculated volume = 28.30 A^3/atom; M_tot = 0.00 μB/cell; crystal system = cubic
1.0
7.679 0.000 0.000
0.000 7.679 0.000
0.000 0.000 7.679
La Y Al Pb
4 4 4 4
Cartesian
0.000 0.000 0.000
0.000 3.839 3.839
3.839 0.000 3.839
3.839 3.839 0.000
0.000 0.000 3.839
0.000 3.839 0.000
3.839 0.000 0.000
3.839 3.839 3.839
1.920 1.920 5.759
1.920 5.759 1.920
5.759 1.920 1.920
5.759 5.759 5.759
1.920 1.920 1.920
1.920 5.759 5.759
5.759 1.920 5.759
5.759 5.759 1.920

Si6P7 | the Alexandria database | PBE-GGA | relaxed; calculated volume = 17.29 A^3/atom; M_tot = 0.00 μB/cell; crystal system = trigonal; raw formation energy = 0.507 eV per atom
1.0
3.106 1.793 6.729
-3.106 1.793 6.729
0.000 -3.586 6.729
Si P
6 7
Cartesian
0.000 0.000 1.357
0.000 0.000 3.709
0.000 0.000 6.667
0.000 0.000 13.521
0.000 0.000 16.479
0.000 0.000 18.831
-1.521 -0.878 8.401
0.000 -1.756 11.787
-1.521 0.878 11.787
0.000 0.000 10.094
1.521 -0.878 8.401
0.000 1.756 8.401
1.521 0.878 11.787

K2Na5Sn | the Alexandria database | PBE-GGA | relaxed; energy of formation from the pure elements = -0.0269 eV per atom; calculated volume = 41.34 A^3/atom; M_tot = 0.00 μB/cell; crystal system = monoclinic
1.0
11.900 0.000 0.000
0.000 7.022 0.000
-4.122 0.000 7.916
K Na Sn
4 10 2
Cartesian
0.000 0.000 0.000
-2.414 3.511 6.549
5.950 3.511 0.000
3.536 0.000 6.549
-2.409 0.000 4.653
0.505 1.710 4.222
0.505 5.312 4.222
3.283 1.601 1.794
3.283 5.422 1.794
3.541 3.511 4.653
6.455 1.801 4.222
6.455 5.221 4.222
9.233 1.910 1.794
9.233 5.112 1.794
-0.263 0.000 6.962
5.687 3.511 6.962

GaPBr | the Alexandria database | PBE-GGA | relaxed; energy above the lowest structure with this stoichiometry = 123 meV per atom; calculated volume = 27.41 A^3/atom; M_tot = 0.00 μB/cell; crystal system = monoclinic; raw formation energy = -0.376 eV per atom
1.0
5.067 0.000 0.000
0.000 3.527 0.000
-2.504 0.000 9.205
Ga P Br
2 2 2
Cartesian
-0.001 0.882 1.170
2.564 2.645 8.035
0.030 2.645 8.477
2.533 0.882 0.727
0.000 2.645 3.007
2.563 0.882 6.198

Cr2CoMo | the Alexandria database | PBE-GGA | relaxed; energy of formation from the pure elements = 0.3155 eV per atom; calculated volume = 12.63 A^3/atom; M_tot = 0.00 μB/cell; crystal system = orthorhombic
1.0
5.175 0.000 0.000
0.000 7.641 0.000
0.000 0.000 2.555
Cr Co Mo
4 2 2
Cartesian
1.294 1.910 0.000
1.294 5.731 0.000
3.881 1.910 0.000
3.881 5.731 0.000
0.000 0.000 1.277
2.587 3.821 1.277
0.000 3.821 1.277
2.587 0.000 1.277

Li2TmZnAu4 | the Alexandria database | PBE-GGA | relaxed; energy of formation from the pure elements = -0.5700 eV per atom; calculated volume = 17.91 A^3/atom; M_tot = 0.00 μB/cell; crystal system = trigonal
1.0
2.238 1.292 8.258
-2.238 1.292 8.258
0.000 -2.584 8.258
Li Tm Zn Au
2 1 1 4
Cartesian
0.000 0.000 5.954
0.000 0.000 18.822
0.000 0.000 0.000
0.000 0.000 12.388
0.000 0.000 3.131
0.000 0.000 9.722
0.000 0.000 15.053
0.000 0.000 21.644

Mg3CuAu12 | the Alexandria database | PBE-GGA | relaxed; energy of formation from the pure elements = -0.2952 eV per atom; calculated volume = 17.63 A^3/atom; M_tot = 0.00 μB/cell; crystal system = tetragonal
1.0
4.176 0.000 0.000
0.000 4.176 0.000
0.000 0.000 16.179
Mg Cu Au
3 1 12
Cartesian
0.000 0.000 0.000
0.000 0.000 4.115
0.000 0.000 12.065
0.000 0.000 8.090
0.000 2.088 2.050
0.000 2.088 6.136
0.000 2.088 10.043
0.000 2.088 14.130
2.088 0.000 2.050
2.088 0.000 6.136
2.088 0.000 10.043
2.088 0.000 14.130
2.088 2.088 0.000
2.088 2.088 4.094
2.088 2.088 8.090
2.088 2.088 12.085

AcNd4Sm3 | the Alexandria database | PBE-GGA | relaxed; energy above the lowest structure with this stoichiometry = 0 meV per atom; energy of formation from the pure elements = 0.0208 eV per atom; calculated volume = 35.75 A^3/atom; M_tot = 0.00 μB/cell; crystal system = orthorhombic
1.0
10.433 0.000 0.000
0.000 7.410 0.000
0.000 0.000 7.398
Ac Nd Sm
2 8 6
Cartesian
0.000 0.000 0.000
5.217 0.000 3.699
0.000 0.000 3.699
0.000 3.705 0.000
2.608 1.892 1.850
2.608 5.518 5.549
5.217 0.000 0.000
5.217 3.705 3.699
7.825 1.892 1.850
7.825 5.518 5.549
0.000 3.705 3.699
2.608 1.890 5.549
2.608 5.520 1.850
5.217 3.705 0.000
7.825 1.890 5.549
7.825 5.520 1.850

Pm8NdSi4 | the Alexandria database | PBE-GGA | relaxed; calculated volume = 27.27 A^3/atom; M_tot = 0.00 μB/cell; crystal system = tetragonal; raw formation energy = -0.296 eV per atom
1.0
-5.294 5.294 3.162
5.294 -5.294 3.162
5.294 5.294 -3.162
Pm Nd Si
8 1 4
Cartesian
2.264 0.000 0.000
8.325 0.000 0.000
5.294 1.843 0.000
0.000 2.264 0.000
1.843 5.294 0.000
3.451 0.000 3.162
0.000 8.325 0.000
0.000 3.451 3.162
0.000 0.000 3.162
2.647 2.647 -1.581
2.647 -2.647 1.581
-2.647 2.647 1.581
2.647 2.647 1.581

Na2CaUO6 | the Alexandria database | PBE-GGA | relaxed; calculated volume = 14.79 A^3/atom; M_tot = 2.08 μB/cell; crystal system = triclinic; raw formation energy = -2.267 eV per atom
1.0
5.907 0.000 0.000
-2.954 5.117 0.000
-2.950 -1.708 4.893
Na Ca U O
2 1 1 6
Cartesian
-1.473 0.857 1.527
1.477 2.552 3.366
1.479 -0.854 2.446
1.477 2.558 0.000
-3.095 0.606 3.699
-0.461 -0.434 3.690
0.883 1.043 1.213
-0.879 2.366 3.680
0.465 3.842 1.203
3.099 2.803 1.194

BePtW | the Alexandria database | PBE-GGA | relaxed; energy above the lowest structure with this stoichiometry = 0 meV per atom; energy of formation from the pure elements = -0.3401 eV per atom; calculated volume = 13.14 A^3/atom; M_tot = 0.00 μB/cell; crystal system = tetragonal
1.0
2.765 0.000 0.000
0.000 2.765 0.000
0.000 0.000 10.308
Be Pt W
2 2 2
Cartesian
0.000 0.000 0.000
0.000 0.000 2.872
1.383 1.383 1.473
1.383 1.383 8.826
0.000 0.000 6.783
1.383 1.383 4.540

MgHgAu3 | the Alexandria database | PBE-GGA | relaxed; energy above the lowest structure with this stoichiometry = 0 meV per atom; energy of formation from the pure elements = 0.3899 eV per atom; calculated volume = 25.11 A^3/atom; M_tot = 0.00 μB/cell; crystal system = cubic
1.0
5.007 0.000 0.000
0.000 5.007 0.000
0.000 0.000 5.007
Mg Hg Au
1 1 3
Cartesian
0.000 0.000 0.000
2.504 2.504 2.504
0.000 0.000 2.504
0.000 2.504 0.000
2.504 0.000 0.000

SrLa4Co | the Alexandria database | PBE-GGA | relaxed; energy above the lowest structure with this stoichiometry = 0 meV per atom; energy of formation from the pure elements = 0.0110 eV per atom; calculated volume = 36.33 A^3/atom; M_tot = 0.00 μB/cell; crystal system = monoclinic
1.0
9.358 -3.836 0.000
9.358 3.836 0.000
-2.068 0.000 6.072
Sr La Co
2 8 2
Cartesian
3.330 0.000 1.101
13.318 0.000 4.971
6.611 1.891 2.388
9.358 1.817 0.000
4.378 0.000 4.861
10.037 1.891 3.684
6.611 -1.891 2.388
12.270 0.000 1.211
9.358 -1.817 0.000
10.037 -1.891 3.684
7.424 0.000 3.986
9.224 0.000 2.086

AlAs2Ru | the Alexandria database | PBE-GGA | relaxed; energy of formation from the pure elements = 0.0970 eV per atom; calculated volume = 16.03 A^3/atom; M_tot = 0.00 μB/cell; crystal system = orthorhombic
1.0
5.439 0.000 0.000
0.000 7.259 0.000
0.000 0.000 3.248
Al As Ru
2 4 2
Cartesian
0.000 0.000 0.000
2.719 3.630 0.000
1.360 1.815 1.624
1.360 5.445 1.624
4.079 1.815 1.624
4.079 5.445 1.624
0.000 3.630 0.000
2.719 0.000 0.000

Tm6NiSn2 | the Alexandria database | PBE-GGA | relaxed; energy of formation from the pure elements = -0.0726 eV per atom; calculated volume = 31.93 A^3/atom; M_tot = 0.00 μB/cell; crystal system = tetragonal
1.0
7.181 0.000 0.000
0.000 7.181 0.000
0.000 0.000 11.144
Tm Ni Sn
12 2 4
Cartesian
1.443 1.443 1.806
1.443 1.443 9.339
1.757 5.425 0.000
1.834 1.834 5.572
2.148 5.033 3.767
2.148 5.033 7.378
5.033 2.148 3.767
5.033 2.148 7.378
5.347 5.347 5.572
5.425 1.757 0.000
5.738 5.738 1.806
5.738 5.738 9.339
0.000 0.000 0.000
3.591 3.591 5.572
0.000 0.000 4.003
0.000 0.000 7.141
3.591 3.591 1.569
3.591 3.591 9.575

La2Pr6NdDy3 | the Alexandria database | PBE-GGA | relaxed; energy of formation from the pure elements = 0.0170 eV per atom; calculated volume = 35.12 A^3/atom; M_tot = 0.00 μB/cell; crystal system = monoclinic
1.0
3.190 -5.529 0.000
3.190 5.529 0.000
-2.130 0.000 11.950
La Pr Nd Dy
2 6 1 3
Cartesian
3.190 3.688 0.000
3.190 -3.688 0.000
-0.004 1.842 8.895
1.065 0.000 3.054
-0.004 -1.842 8.895
4.253 1.842 3.054
3.184 0.000 8.896
4.253 -1.842 3.054
3.190 0.000 0.000
-1.065 0.000 5.975
2.124 1.841 5.975
2.124 -1.841 5.975

GaAgHg2 | the Alexandria database | PBE-GGA | relaxed; energy of formation from the pure elements = 0.3607 eV per atom; calculated volume = 32.01 A^3/atom; M_tot = 0.00 μB/cell; crystal system = tetragonal
1.0
6.378 0.000 0.000
0.000 6.378 0.000
0.000 0.000 12.592
Ga Ag Hg
4 4 8
Cartesian
0.000 0.000 0.000
0.000 3.189 3.148
3.189 0.000 9.444
3.189 3.189 6.296
0.000 0.000 6.296
0.000 3.189 9.444
3.189 0.000 3.148
3.189 3.189 0.000
1.514 1.594 1.574
1.594 4.703 4.722
1.594 4.863 11.018
1.675 1.594 7.870
4.703 4.783 7.870
4.783 1.514 11.018
4.783 1.675 4.722
4.863 4.783 1.574

Ta2TcAg | the Alexandria database | PBE-GGA | relaxed; energy above the lowest structure with this stoichiometry = 71 meV per atom; energy of formation from the pure elements = 0.1341 eV per atom; calculated volume = 17.14 A^3/atom; M_tot = 0.00 μB/cell; crystal system = monoclinic
1.0
2.822 0.000 0.000
0.000 4.258 0.000
-1.011 0.000 5.706
Ta Tc Ag
2 1 1
Cartesian
-0.039 0.000 1.533
1.850 0.000 4.173
0.906 2.129 2.853
1.411 2.129 0.000

PrTiPb2 | the Alexandria database | PBE-GGA | relaxed; energy of formation from the pure elements = -0.1175 eV per atom; calculated volume = 26.04 A^3/atom; M_tot = 0.00 μB/cell; crystal system = tetragonal
1.0
3.877 0.000 0.000
0.000 3.877 0.000
0.000 0.000 6.931
Pr Ti Pb
1 1 2
Cartesian
0.000 0.000 0.000
0.000 0.000 3.466
1.938 1.938 1.966
1.938 1.938 4.966

AcZn2Pd | the Alexandria database | PBE-GGA | relaxed; energy above the lowest structure with this stoichiometry = 13 meV per atom; energy of formation from the pure elements = -0.5317 eV per atom; calculated volume = 21.74 A^3/atom; M_tot = 0.00 μB/cell; crystal system = orthorhombic
1.0
16.341 0.000 0.000
0.000 7.381 0.000
0.000 0.000 5.768
Ac Zn Pd
8 16 8
Cartesian
1.692 1.845 1.324
2.317 5.536 2.679
5.854 1.845 5.563
6.479 5.536 4.208
9.862 1.845 1.560
10.488 5.536 0.205
14.024 1.845 3.089
14.649 5.536 4.444
0.652 0.471 4.323
0.652 3.220 4.323
3.445 4.136 5.417
3.445 6.935 5.417
4.726 0.446 2.533
4.726 3.244 2.533
7.519 4.161 1.439
7.519 6.910 1.439
8.822 0.471 4.329
8.822 3.220 4.329
11.616 4.136 3.235
11.616 6.935 3.235
12.896 0.446 0.351
12.896 3.244 0.351
15.689 4.161 1.445
15.689 6.910 1.445
1.156 5.536 5.702
3.025 1.845 4.081
5.145 5.536 1.197
7.014 1.845 2.818
9.327 5.536 2.950
11.196 1.845 4.571
13.316 5.536 1.687
15.185 1.845 0.066